DFT (PBE-GGA) results for a relaxed structure of CaTa2Sb.

Results
For the density, the calculation gives 10.18 Mg/m³. The volume is 21.4 A^3/atom. The value obtained for the total magnetization is 0.00 μB/f.u. As for the space-group type: I4/mmm, No. 139. The calculation puts the total energy at -0.262 Ha/atom.

Geometry as extended XYZ:
```
4
Lattice="5.706 0.000 0.000 2.637 5.061 0.000 -4.172 -2.530 2.960" Properties=species:S:1:pos:R:3 pbc="T T T"
Sb 2.853 0.000 1.480
Ca 1.318 2.530 1.480
Ta 0.000 0.000 0.000
Ta 4.172 2.530 0.000
```